Computed, not measured: Cs2UMnSe4 after structural relaxation at the GGA-PBE level of DFT.

Cell: 6.621 8.220 13.731 Å, 84.43 76.05 66.25°
Fractional coordinates of all 16 atoms:
Cs1 0.179 0.000 0.642
Cs2 0.821 0.000 0.358
Cs3 0.571 0.500 0.858
Cs4 0.929 0.500 0.142
U1 0.750 0.500 0.500
U2 0.000 0.000 0.000
Mn1 0.250 0.500 0.500
Mn2 0.500 0.000 0.000
Se1 0.317 0.803 0.103
Se2 0.223 0.197 0.897
Se3 0.880 0.803 0.897
Se4 0.580 0.197 0.103
Se5 0.433 0.697 0.397
Se6 0.527 0.303 0.603
Se7 0.870 0.697 0.603
Se8 0.170 0.303 0.397

## Properties
- SG = No. 70
- E_form (uncorrected) (eV per atom) = -0.936
- calculated total energy (eV for the cell shown) = -87.18